No. 1
This record from Alexandria describes an optimized crystal structure of Ba2Mg12TlCd3. The functional is GGA-PBE.

Output
For the formation energy, the calculation gives 0.07 eV per atom. As for the calculated total energy: -1.491 eV/atom. For the density, the calculation gives 3.44 Mg/m³.

POSCAR file:
```
Ba2Mg12TlCd3
1.0
3.750 2.165 10.966
-3.750 2.165 10.966
0.000 -4.330 10.966
Ba Mg Tl Cd
2 12 1 3
Cartesian
0.000 0.000 4.796
0.000 0.000 28.102
0.000 -2.627 9.475
-2.275 1.314 9.475
-1.669 -0.963 14.102
-2.275 -1.314 23.423
0.000 -1.927 18.796
-1.669 0.963 18.796
1.669 -0.963 14.102
0.000 1.927 14.102
2.275 1.314 9.475
1.669 0.963 18.796
2.275 -1.314 23.423
0.000 2.627 23.423
0.000 0.000 16.449
-1.875 -1.083 10.966
-1.875 1.083 21.932
0.000 2.165 10.966
```

***

No. 2
This record from Alexandria describes an optimized crystal structure of BaMgTlCd. The functional is GGA-PBE.

Output
For the formation energy, the calculation gives -0.23 eV per atom. As for the calculated total energy: -1.932 eV/atom. For the density, the calculation gives 6.47 Mg/m³.

POSCAR file:
```
BaMgTlCd
1.0
7.891 0.000 0.000
0.000 7.891 0.000
0.000 0.000 7.891
Ba Mg Tl Cd
4 4 4 4
Cartesian
0.000 0.000 0.000
0.000 3.946 3.946
3.946 0.000 3.946
3.946 3.946 0.000
0.000 0.000 3.946
0.000 3.946 0.000
3.946 0.000 0.000
3.946 3.946 3.946
1.973 1.973 5.918
1.973 5.918 1.973
5.918 1.973 1.973
5.918 5.918 5.918
1.973 1.973 1.973
1.973 5.918 5.918
5.918 1.973 5.918
5.918 5.918 1.973
```